Here is a relaxed structure of KGeSe from the Alexandria database. Energies are from PBE-GGA.

```
KGeSe
1.0
6.868 0.000 -0.003
0.000 3.832 0.000
-0.920 0.000 17.170
Ge Se K
4 4 4
Direct
0.466 0.000 0.668
0.523 0.500 0.023
0.523 0.000 0.523
0.466 0.500 0.168
0.283 0.000 0.992
0.707 0.000 0.205
0.283 0.500 0.492
0.707 0.500 0.705
0.618 0.000 0.860
0.997 0.000 0.602
0.997 0.500 0.102
0.618 0.500 0.360
```

## Properties
total magnetic moment	0.0	μB per formula unit
formation energy without anion corrections	-163	kJ/mol of formula units
E	-3.6294	eV/atom


Here is a relaxed structure of KGeSe from the Alexandria database. Energies are from PBE-GGA.

```
KGeSe
1.0
9.061 0.000 0.000
0.000 3.851 0.000
-0.984 0.000 13.586
Ge Se K
4 4 4
Direct
0.502 0.500 0.119
0.241 0.000 0.538
0.241 0.500 0.038
0.502 0.000 0.619
0.563 0.500 0.502
0.136 0.500 0.641
0.563 0.000 0.002
0.136 0.000 0.141
0.858 0.500 0.053
0.295 0.000 0.821
0.858 0.000 0.553
0.295 0.500 0.321
```

## Properties
total magnetic moment	0.0	μB per formula unit
formation energy without anion corrections	-160	kJ/mol of formula units
E	-3.6194	eV/atom


Energy relative to the lowest polymorph listed for this composition / meV/atom: 55.8, 65.8